Nd4Bi2H9 | PBE | optimized geometry

Geometry as POSCAR:
```
Nd4Bi2H9
1.0
3.833 0.000 0.000
-1.917 3.320 0.000
0.000 0.000 17.395
Nd Bi H
4 2 9
direct
0.333 0.667 0.096 Nd
0.333 0.667 0.410 Nd
0.667 0.333 0.590 Nd
0.667 0.333 0.904 Nd
0.333 0.667 0.754 Bi
0.667 0.333 0.246 Bi
0.000 0.000 0.086 H
0.000 0.000 0.374 H
0.000 0.000 0.500 H
0.000 0.000 0.626 H
0.000 0.000 0.914 H
0.333 0.667 0.548 H
0.333 0.667 0.960 H
0.667 0.333 0.040 H
0.667 0.333 0.452 H
```

Total DFT energy (no corrections): -4.333 eV/atom
Size of the total moment: 0.00 μB per cell
V: 221 Å³ per cell
Space group: P-3m1